1.
# GGA-PBE CeHoTm2, optimized geometry
data_CeHoTm2
_cell_length_a 11.564
_cell_length_b 11.564
_cell_length_c 11.564
_cell_angle_alpha 17.35
_cell_angle_beta 17.35
_cell_angle_gamma 17.35
_space_group_name_H-M_alt 'P 1'
_space_group_IT_number 1
_space_group_name_Hall 'P 1'
loop_
_atom_site_label
_atom_site_type_symbol
_atom_site_fract_x
_atom_site_fract_y
_atom_site_fract_z
Ce1 Ce 0.000 0.000 0.000
Ho1 Ho 0.500 0.500 0.500
Tm1 Tm 0.251 0.251 0.251
Tm2 Tm 0.749 0.749 0.749
# - SG = R-3m
# - calculated volume (Å³/f.u.) = 120.0
# - Fermi-level density of states (states/eV per cell) = 7.95
# - final energy (eV/atom) = -4.811

2.
# GGA-PBE CeHo12Tm3, optimized geometry
data_CeHo12Tm3
_cell_length_a 4.976
_cell_length_b 4.976
_cell_length_c 19.894
_cell_angle_alpha 90.00
_cell_angle_beta 90.00
_cell_angle_gamma 90.00
_space_group_name_H-M_alt 'P 1'
_space_group_IT_number 1
_space_group_name_Hall 'P 1'
loop_
_atom_site_label
_atom_site_type_symbol
_atom_site_fract_x
_atom_site_fract_y
_atom_site_fract_z
Ce1 Ce 0.000 0.000 0.000
Ho1 Ho 0.000 0.500 0.125
Ho2 Ho 0.000 0.500 0.375
Ho3 Ho 0.000 0.500 0.625
Ho4 Ho 0.000 0.500 0.875
Ho5 Ho 0.500 0.000 0.125
Ho6 Ho 0.500 0.000 0.375
Ho7 Ho 0.500 0.000 0.625
Ho8 Ho 0.500 0.000 0.875
Ho9 Ho 0.500 0.500 0.000
Ho10 Ho 0.500 0.500 0.252
Ho11 Ho 0.500 0.500 0.500
Ho12 Ho 0.500 0.500 0.748
Tm1 Tm 0.000 0.000 0.250
Tm2 Tm 0.000 0.000 0.500
Tm3 Tm 0.000 0.000 0.750
# - SG = P4/mmm
# - calculated volume (Å³/f.u.) = 492.6
# - Fermi-level density of states (states/eV per cell) = 22.62
# - final energy (eV/atom) = -4.609

3.
# GGA-PBE CeHo8Tm5, optimized geometry
data_CeHo8Tm5
_cell_length_a 8.307
_cell_length_b 8.307
_cell_length_c 8.307
_cell_angle_alpha 110.61
_cell_angle_beta 110.61
_cell_angle_gamma 107.21
_space_group_name_H-M_alt 'P 1'
_space_group_IT_number 1
_space_group_name_Hall 'P 1'
loop_
_atom_site_label
_atom_site_type_symbol
_atom_site_fract_x
_atom_site_fract_y
_atom_site_fract_z
Ce1 Ce 0.000 0.000 0.000
Ho1 Ho 0.023 0.772 0.604
Ho2 Ho 0.070 0.325 0.913
Ho3 Ho 0.169 0.420 0.396
Ho4 Ho 0.228 0.831 0.251
Ho5 Ho 0.413 0.157 0.087
Ho6 Ho 0.580 0.977 0.749
Ho7 Ho 0.675 0.587 0.745
Ho8 Ho 0.843 0.930 0.255
Tm1 Tm 0.319 0.216 0.678
Tm2 Tm 0.359 0.681 0.897
Tm3 Tm 0.538 0.641 0.322
Tm4 Tm 0.750 0.250 0.500
Tm5 Tm 0.784 0.462 0.103
# - SG = I-4
# - calculated volume (Å³/f.u.) = 440.8
# - Fermi-level density of states (states/eV per cell) = 21.79
# - final energy (eV/atom) = -4.384

4.
# GGA-PBE CeHoTm2, optimized geometry
data_CeHoTm2
_cell_length_a 4.952
_cell_length_b 4.952
_cell_length_c 4.927
_cell_angle_alpha 90.00
_cell_angle_beta 90.00
_cell_angle_gamma 90.00
_space_group_name_H-M_alt 'P 1'
_space_group_IT_number 1
_space_group_name_Hall 'P 1'
loop_
_atom_site_label
_atom_site_type_symbol
_atom_site_fract_x
_atom_site_fract_y
_atom_site_fract_z
Ce1 Ce 0.000 0.000 0.000
Ho1 Ho 0.500 0.500 0.000
Tm1 Tm 0.000 0.500 0.500
Tm2 Tm 0.500 0.000 0.500
# - SG = P4/mmm
# - calculated volume (Å³/f.u.) = 120.8
# - Fermi-level density of states (states/eV per cell) = 6.81
# - final energy (eV/atom) = -4.799

5.
# GGA-PBE CeHo8Tm2, optimized geometry
data_CeHo8Tm2
_cell_length_a 10.090
_cell_length_b 10.090
_cell_length_c 5.501
_cell_angle_alpha 92.57
_cell_angle_beta 92.57
_cell_angle_gamma 39.70
_space_group_name_H-M_alt 'P 1'
_space_group_IT_number 1
_space_group_name_Hall 'P 1'
loop_
_atom_site_label
_atom_site_type_symbol
_atom_site_fract_x
_atom_site_fract_y
_atom_site_fract_z
Ce1 Ce 0.000 0.000 0.000
Ho1 Ho 0.132 0.600 0.266
Ho2 Ho 0.188 0.188 0.234
Ho3 Ho 0.400 0.868 0.734
Ho4 Ho 0.454 0.454 0.761
Ho5 Ho 0.546 0.546 0.239
Ho6 Ho 0.600 0.132 0.266
Ho7 Ho 0.812 0.812 0.766
Ho8 Ho 0.868 0.400 0.734
Tm1 Tm 0.284 0.284 0.751
Tm2 Tm 0.716 0.716 0.249
# - SG = C2/m
# - calculated volume (Å³/f.u.) = 357.3
# - Fermi-level density of states (states/eV per cell) = 21.54
# - final energy (eV/atom) = -4.509

6.
# GGA-PBE CeHo3Tm6, optimized geometry
data_CeHo3Tm6
_cell_length_a 8.793
_cell_length_b 8.793
_cell_length_c 8.911
_cell_angle_alpha 90.00
_cell_angle_beta 90.00
_cell_angle_gamma 116.05
_space_group_name_H-M_alt 'P 1'
_space_group_IT_number 1
_space_group_name_Hall 'P 1'
loop_
_atom_site_label
_atom_site_type_symbol
_atom_site_fract_x
_atom_site_fract_y
_atom_site_fract_z
Ce1 Ce 0.232 0.768 0.500
Ce2 Ce 0.768 0.232 0.000
Ho1 Ho 0.030 0.313 0.441
Ho2 Ho 0.313 0.030 0.941
Ho3 Ho 0.458 0.542 0.426
Ho4 Ho 0.542 0.458 0.926
Ho5 Ho 0.687 0.970 0.441
Ho6 Ho 0.970 0.687 0.941
Tm1 Tm 0.057 0.943 0.294
Tm2 Tm 0.166 0.294 0.106
Tm3 Tm 0.169 0.473 0.776
Tm4 Tm 0.292 0.708 0.148
Tm5 Tm 0.294 0.166 0.606
Tm6 Tm 0.473 0.169 0.276
Tm7 Tm 0.527 0.831 0.776
Tm8 Tm 0.706 0.834 0.106
Tm9 Tm 0.708 0.292 0.648
Tm10 Tm 0.831 0.527 0.276
Tm11 Tm 0.834 0.706 0.606
Tm12 Tm 0.943 0.057 0.794
# - SG = Cmc2_1
# - calculated volume (Å³/f.u.) = 309.5
# - Fermi-level density of states (states/eV per cell) = 32.25
# - final energy (eV/atom) = -4.488

7.
# GGA-PBE CeHo3Tm4, optimized geometry
data_CeHo3Tm4
_cell_length_a 11.168
_cell_length_b 7.150
_cell_length_c 6.182
_cell_angle_alpha 90.00
_cell_angle_beta 90.00
_cell_angle_gamma 90.00
_space_group_name_H-M_alt 'P 1'
_space_group_IT_number 1
_space_group_name_Hall 'P 1'
loop_
_atom_site_label
_atom_site_type_symbol
_atom_site_fract_x
_atom_site_fract_y
_atom_site_fract_z
Ce1 Ce 0.000 0.124 0.000
Ce2 Ce 0.500 0.876 0.500
Ho1 Ho 0.000 0.876 0.502
Ho2 Ho 0.250 0.125 0.333
Ho3 Ho 0.250 0.875 0.833
Ho4 Ho 0.500 0.124 0.002
Ho5 Ho 0.750 0.125 0.333
Ho6 Ho 0.750 0.875 0.833
Tm1 Tm 0.000 0.375 0.502
Tm2 Tm 0.000 0.624 0.000
Tm3 Tm 0.250 0.374 0.837
Tm4 Tm 0.250 0.626 0.337
Tm5 Tm 0.500 0.376 0.500
Tm6 Tm 0.500 0.625 0.002
Tm7 Tm 0.750 0.374 0.837
Tm8 Tm 0.750 0.626 0.337
# - SG = Pmn2_1
# - calculated volume (Å³/f.u.) = 246.8
# - Fermi-level density of states (states/eV per cell) = 30.41
# - final energy (eV/atom) = -4.663

8.
# GGA-PBE CeHoTm2, optimized geometry
data_CeHoTm2
_cell_length_a 5.595
_cell_length_b 5.595
_cell_length_c 5.595
_cell_angle_alpha 60.00
_cell_angle_beta 60.00
_cell_angle_gamma 60.00
_space_group_name_H-M_alt 'P 1'
_space_group_IT_number 1
_space_group_name_Hall 'P 1'
loop_
_atom_site_label
_atom_site_type_symbol
_atom_site_fract_x
_atom_site_fract_y
_atom_site_fract_z
Ce1 Ce 0.000 0.000 0.000
Ho1 Ho 0.500 0.500 0.500
Tm1 Tm 0.250 0.250 0.250
Tm2 Tm 0.750 0.750 0.750
# - SG = Fm-3m
# - calculated volume (Å³/f.u.) = 123.9
# - Fermi-level density of states (states/eV per cell) = 8.18
# - final energy (eV/atom) = -4.717

Q: Which ΔH_f (0 K) values were calculated for the entries above? A: 53 33 253 65 172 161 31 146, in meV/atom.